First-principles (GGA-PBE) data for a relaxed RbBa2Hg8 crystal, as listed in the Alexandria database.

```
RbBa2Hg8
1.0
5.4540 0.2684 -1.6113
-0.5238 6.6107 -3.1798
-0.3941 0.4043 10.0456
Hg Ba Rb
8 2 1
Cartesian
3.5731 1.7047 2.3199 Hg
0.9173 3.9218 -2.2188 Hg
0.5898 2.5061 1.4216 Hg
4.4896 1.0257 5.5708 Hg
4.0128 2.9574 -2.5723 Hg
3.9462 4.7772 3.8329 Hg
0.0464 6.2577 -0.3163 Hg
0.9629 5.5787 2.9345 Hg
1.3268 2.4627 4.9013 Ba
3.2092 4.8207 0.3532 Ba
2.7270 0.1342 -0.8057 Rb
```

Calculated values
* calculated formation energy: -359 meV/atom
* size of the total moment: 0.00 μB per formula unit
* space group: No. 12